[1]
# SrTi3Tl

A geometry-optimized SrTi3Tl structure (GGA-PBE, the Alexandria database). Values from VASP.

Structure (Quantum ESPRESSO input):
```
&SYSTEM
  ibrav = 0, nat = 5, ntyp = 3
/
ATOMIC_SPECIES
Sr 87.62 Sr.upf
Ti 47.87 Ti.upf
Tl 204.38 Tl.upf
CELL_PARAMETERS angstrom
4.865 0.000 0.000
0.000 4.865 0.000
0.000 0.000 4.865
ATOMIC_POSITIONS angstrom
Sr 0.000 0.000 0.000
Ti 0.000 0.000 2.433
Ti 0.000 2.433 0.000
Ti 2.433 0.000 0.000
Tl 2.433 2.433 2.433
```

## Properties
E_form (eV per atom): 1.7746
DFT total energy (eV for the cell shown): -18.9
Magnetic moment (μB/f.u.): 1.56
Density of states at the Fermi level (states/eV/atom): 1.495
Polymorph energy (0 for the lowest one) (eV per atom): 0.7608

[2]
# PuTeF

A geometry-optimized PuTeF structure (GGA-PBE, the Alexandria database). Values from VASP.

Structure (Quantum ESPRESSO input):
```
&SYSTEM
  ibrav = 0, nat = 6, ntyp = 3
/
ATOMIC_SPECIES
Pu 244.00 Pu.upf
Te 127.60 Te.upf
F 19.00 F.upf
CELL_PARAMETERS angstrom
3.489 0.000 0.000
0.000 3.489 0.000
0.000 0.000 11.024
ATOMIC_POSITIONS angstrom
Pu 0.000 0.000 0.000
Pu 1.744 1.744 5.512
Te 0.000 0.000 3.387
Te 1.744 1.744 8.899
F 0.000 0.000 6.389
F 1.744 1.744 0.877
```

## Properties
DFT total energy (eV for the cell shown): -49.4
Magnetic moment (μB/f.u.): 5.49
Density of states at the Fermi level (states/eV/atom): 2.462
Formation energy from raw total energies (meV/atom): -1791

[3]
# SmZn8Co2

A geometry-optimized SmZn8Co2 structure (GGA-PBE, the Alexandria database). Values from VASP.

Structure (Quantum ESPRESSO input):
```
&SYSTEM
  ibrav = 0, nat = 11, ntyp = 3
/
ATOMIC_SPECIES
Sm 150.36 Sm.upf
Zn 65.41 Zn.upf
Co 58.93 Co.upf
CELL_PARAMETERS angstrom
3.558 -5.492 0.000
3.558 5.492 0.000
-1.518 0.000 4.682
ATOMIC_POSITIONS angstrom
Sm 0.000 0.000 0.000
Zn 0.546 1.364 2.796
Zn 3.558 2.425 0.000
Zn 0.546 -1.364 2.796
Zn 2.833 0.000 1.090
Zn 2.765 0.000 3.592
Zn 5.053 1.364 1.887
Zn 3.558 -2.425 0.000
Zn 5.053 -1.364 1.887
Co 2.799 2.183 2.341
Co 2.799 -2.183 2.341
```

## Properties
E_form (eV per atom): 0.0238
DFT total energy (eV for the cell shown): -28.9
Magnetic moment (μB/f.u.): 0.00
Density of states at the Fermi level (states/eV/atom): 0.536